# 1
# K2RePt

A geometry-optimized K2RePt structure (PBE, the Alexandria database).

Cell lengths 6.235, 6.235, 2.745 Å; angles 90.00, 90.00, 127.50 degrees
Sites, in units of the cell vectors:
K1 0.000 0.500 0.000
K2 0.500 0.000 0.000
Re1 0.000 0.000 0.500
Pt1 0.500 0.500 0.500

Values from the calculation:
Its crystal system is orthorhombic. For the excess energy over the best structure of this formula in the dataset, the calculation gives 0.511 eV/atom. The formation energy is 97.1 kJ per mole of atoms. For the energy, the calculation gives -4.165 eV per atom. As for the space-group type: Cmmm, No. 65.

---

# 2
# BeNbN2

A geometry-optimized BeNbN2 structure (PBE, the Alexandria database).

Cell lengths 5.827, 5.827, 5.827 Å; angles 29.79, 29.79, 29.79 degrees
Sites, in units of the cell vectors:
Be1 0.000 0.000 0.000
Nb1 0.500 0.500 0.500
N1 0.384 0.384 0.384
N2 0.616 0.616 0.616

Values from the calculation:
Its crystal system is trigonal. The value obtained for the raw formation energy is 9.9 kcal/mol of atoms. For the energy, the calculation gives -7.181 eV per atom. As for the space-group type: R-3m, No. 166.

---

# 3
# CsSc2VRh

A geometry-optimized CsSc2VRh structure (PBE, the Alexandria database).

Cell lengths 5.203, 5.203, 4.876 Å; angles 90.00, 90.00, 90.00 degrees
Sites, in units of the cell vectors:
Cs1 0.000 0.000 0.000
Sc1 0.000 0.500 0.000
Sc2 0.500 0.000 0.000
V1 0.500 0.500 0.500
Rh1 0.000 0.000 0.500

Values from the calculation:
Its crystal system is tetragonal. The formation energy is 172.4 kJ per mole of atoms. For the energy, the calculation gives -4.211 eV per atom. As for the space-group type: P4/mmm, No. 123.